(1)
NdCuAu: optimized geometry, PBE.

a = 3.742 Å, b = 3.742 Å, c = 5.303 Å
α = 110.66°, β = 110.66°, γ = 90.00°
Sites, in units of the cell vectors:
1 Au 0.944 0.944 0.887
2 Nd 0.616 0.616 0.231
3 Cu 0.291 0.291 0.581

Output
The density is 10.44 Mg/m³. The calculation puts the size of the total moment at 0.000 μB/atom. For the total energy, the calculation gives -4.470 eV per atom. The density of states at the Fermi level is 1.6 states/eV/cell. Its symmetry is I4mm, No. 107. The calculation puts the formation energy at -0.42 eV/atom.



(2)
La2PrDy5Tm: optimized geometry, PBE.

a = 8.710 Å, b = 8.710 Å, c = 10.021 Å
α = 115.76°, β = 115.76°, γ = 90.00°
Sites, in units of the cell vectors:
1 La 0.117 0.383 0.000
2 La 0.617 0.117 0.000
3 La 0.383 0.883 0.000
4 La 0.883 0.617 0.000
5 Pr 0.250 0.250 0.500
6 Pr 0.750 0.750 0.500
7 Dy 0.925 0.425 0.282
8 Dy 0.644 0.144 0.718
9 Dy 0.075 0.575 0.718
10 Dy 0.144 0.075 0.718
11 Dy 0.575 0.644 0.718
12 Dy 0.856 0.925 0.282
13 Dy 0.425 0.356 0.282
14 Dy 0.356 0.856 0.282
15 Dy 0.500 0.500 0.000
16 Dy 0.000 0.000 0.000
17 Tm 0.250 0.750 0.500
18 Tm 0.750 0.250 0.500

Output
The density is 7.75 Mg/m³. The calculation puts the size of the total moment at 0.000 μB/atom. For the total energy, the calculation gives -4.422 eV per atom. The density of states at the Fermi level is 24.7 states/eV/cell. Its symmetry is I4/mcm, No. 140. The calculation puts the formation energy at 0.26 eV/atom.



(3)
In2TcMo: optimized geometry, PBE.

a = 4.662 Å, b = 4.662 Å, c = 4.662 Å
α = 60.00°, β = 60.00°, γ = 60.00°
Site moments in Bohr magnetons follow the coordinates.
Sites, in units of the cell vectors:
1 Mo 0.000 0.000 0.000  1.25
2 Tc 0.500 0.500 0.500  0.20
3 In 0.250 0.250 0.250  0.01
4 In 0.750 0.750 0.750  0.01

Output
The density is 9.82 Mg/m³. The calculation puts the size of the total moment at 0.410 μB/atom. For the total energy, the calculation gives -6.161 eV per atom. The density of states at the Fermi level is 4.6 states/eV/cell. Its symmetry is Fm-3m, No. 225. The calculation puts the formation energy at 0.51 eV/atom.



(4)
V2Co2Se: optimized geometry, PBE.

a = 6.742 Å, b = 6.742 Å, c = 2.912 Å
α = 90.00°, β = 90.00°, γ = 90.00°
Sites, in units of the cell vectors:
1 Co 0.370 0.870 0.000
2 Co 0.870 0.630 0.000
3 Co 0.630 0.130 0.000
4 Co 0.130 0.370 0.000
5 Se 0.000 0.000 0.000
6 Se 0.500 0.500 0.000
7 V 0.160 0.660 0.500
8 V 0.660 0.840 0.500
9 V 0.840 0.340 0.500
10 V 0.340 0.160 0.500

Output
The density is 7.50 Mg/m³. The calculation puts the size of the total moment at 0.000 μB/atom. For the total energy, the calculation gives -7.090 eV per atom. The density of states at the Fermi level is 10.5 states/eV/cell. Its symmetry is P4/mbm, No. 127. For the formation energy (no corrections), the calculation gives 96.5 meV/atom.



(5)
CeDy12Er7: optimized geometry, PBE.

a = 9.226 Å, b = 9.226 Å, c = 9.226 Å
α = 108.01°, β = 108.01°, γ = 108.01°
Site moments in Bohr magnetons follow the coordinates.
Sites, in units of the cell vectors:
1 Ce 0.000 0.000 0.000  0.39
2 Dy 0.789 0.325 0.612  0.00
3 Dy 0.675 0.388 0.211  0.00
4 Dy 0.405 0.061 0.300  0.01
5 Dy 0.939 0.700 0.595  0.01
6 Dy 0.388 0.211 0.675  0.00
7 Dy 0.700 0.595 0.939  0.01
8 Dy 0.300 0.405 0.061  0.01
9 Dy 0.612 0.789 0.325  0.00
10 Dy 0.061 0.300 0.405  0.01
11 Dy 0.595 0.939 0.700  0.01
12 Dy 0.325 0.612 0.789  0.00
13 Dy 0.211 0.675 0.388  0.00
14 Er 0.105 0.685 0.000  0.02
15 Er 0.315 0.000 0.895  0.02
16 Er 0.000 0.895 0.315  0.02
17 Er 0.500 0.500 0.500  0.01
18 Er 0.000 0.105 0.685  0.02
19 Er 0.685 0.000 0.105  0.02
20 Er 0.895 0.315 0.000  0.02

Output
The density is 8.52 Mg/m³. The calculation puts the size of the total moment at 0.036 μB/atom. For the total energy, the calculation gives -4.477 eV per atom. The density of states at the Fermi level is 40.3 states/eV/cell. Its symmetry is R-3, No. 148. The calculation puts the formation energy at 0.18 eV/atom.



(6)
HoPaRhO6: optimized geometry, PBE.

a = 4.899 Å, b = 5.363 Å, c = 5.363 Å
α = 120.00°, β = 90.00°, γ = 90.00°
Site moments in Bohr magnetons follow the coordinates.
Sites, in units of the cell vectors:
1 Ho 0.500 0.667 0.333  0.01
2 Pa 0.000 0.333 0.667  0.01
3 Rh 0.500 0.000 0.000  0.41
4 O 0.739 0.681 0.697  0.05
5 O 0.739 0.303 0.983  0.05
6 O 0.739 0.017 0.319  0.05
7 O 0.261 0.303 0.319  0.05
8 O 0.261 0.681 0.983  0.05
9 O 0.261 0.017 0.697  0.05

Output
The density is 8.09 Mg/m³. The calculation puts the size of the total moment at 0.088 μB/atom. For the total energy, the calculation gives -8.234 eV per atom. The density of states at the Fermi level is 7.4 states/eV/cell. Its symmetry is P312, No. 149. For the formation energy (no corrections), the calculation gives -2547.8 meV/atom.



(7)
Cr4NiRh4: optimized geometry, PBE.

a = 3.636 Å, b = 5.912 Å, c = 5.912 Å
α = 84.57°, β = 72.09°, γ = 72.09°
Sites, in units of the cell vectors:
1 Cr 0.660 0.340 0.340
2 Cr 0.340 0.660 0.660
3 Cr 0.000 0.660 0.340
4 Cr 0.000 0.340 0.660
5 Ni 0.000 0.000 0.000
6 Rh 0.666 0.667 0.000
7 Rh 0.334 0.333 0.000
8 Rh 0.666 0.000 0.667
9 Rh 0.334 0.000 0.333

Output
The density is 9.79 Mg/m³. The calculation puts the size of the total moment at 0.000 μB/atom. For the total energy, the calculation gives -8.179 eV per atom. The density of states at the Fermi level is 12.4 states/eV/cell. Its symmetry is I4/mmm, No. 139. The calculation puts the formation energy at 0.01 eV/atom.



(8)
Mg2Tc: optimized geometry, PBE.

a = 5.023 Å, b = 5.023 Å, c = 4.746 Å
α = 90.00°, β = 90.00°, γ = 120.00°
Site moments in Bohr magnetons follow the coordinates.
Sites, in units of the cell vectors:
1 Mg 0.000 0.646 0.000  0.00
2 Mg 0.646 0.000 0.000  0.00
3 Mg 0.354 0.354 0.000  0.00
4 Mg 0.000 0.000 0.500  -0.01
5 Tc 0.667 0.333 0.500  0.42
6 Tc 0.333 0.667 0.500  0.42

Output
The density is 4.70 Mg/m³. The calculation puts the size of the total moment at 0.144 μB/atom. For the total energy, the calculation gives -4.276 eV per atom. The density of states at the Fermi level is 4.7 states/eV/cell. Its symmetry is P-62m, No. 189. The calculation puts the formation energy at 0.24 eV/atom.



(9)
Sm8Al2Pd: optimized geometry, PBE.

a = 5.111 Å, b = 6.790 Å, c = 9.730 Å
α = 101.85°, β = 105.23°, γ = 90.00°
Sites, in units of the cell vectors:
1 Sm 0.406 0.538 0.812
2 Sm 0.653 0.972 0.305
3 Sm 0.792 0.698 0.583
4 Sm 0.978 0.226 0.957
5 Sm 0.208 0.302 0.417
6 Sm 0.347 0.028 0.695
7 Sm 0.594 0.462 0.188
8 Sm 0.022 0.774 0.043
9 Al 0.812 0.249 0.623
10 Al 0.188 0.751 0.377
11 Pd 0.500 0.000 0.000

Output
The density is 7.11 Mg/m³. The calculation puts the size of the total moment at 0.000 μB/atom. For the total energy, the calculation gives -4.842 eV per atom. The density of states at the Fermi level is 10.9 states/eV/cell. Its symmetry is C2/m, No. 12. The calculation puts the formation energy at -0.26 eV/atom.



(10)
Ba2AgGe3Pt4: optimized geometry, PBE.

a = 4.570 Å, b = 4.570 Å, c = 10.471 Å
α = 90.00°, β = 90.00°, γ = 90.00°
Sites, in units of the cell vectors:
1 Ba 0.500 0.000 0.252
2 Ba 0.000 0.500 0.748
3 Ag 0.500 0.500 0.500
4 Ge 0.000 0.000 0.500
5 Ge 0.500 0.000 0.885
6 Ge 0.000 0.500 0.115
7 Pt 0.500 0.500 0.000
8 Pt 0.000 0.000 0.000
9 Pt 0.500 0.000 0.642
10 Pt 0.000 0.500 0.358

Output
The density is 10.48 Mg/m³. The calculation puts the size of the total moment at 0.000 μB/atom. For the total energy, the calculation gives -5.121 eV per atom. The density of states at the Fermi level is 4.6 states/eV/cell. Its symmetry is P-4m2, No. 115. The calculation puts the formation energy at -0.65 eV/atom.



(11)
SmHo12Tm6: optimized geometry, PBE.

a = 8.450 Å, b = 8.450 Å, c = 8.450 Å
α = 88.23°, β = 88.23°, γ = 88.23°
Sites, in units of the cell vectors:
1 Sm 0.000 0.000 0.000
2 Ho 0.774 0.544 0.435
3 Ho 0.435 0.774 0.544
4 Ho 0.544 0.435 0.774
5 Ho 0.226 0.456 0.565
6 Ho 0.565 0.226 0.456
7 Ho 0.456 0.565 0.226
8 Ho 0.009 0.209 0.357
9 Ho 0.791 0.643 0.991
10 Ho 0.643 0.991 0.791
11 Ho 0.991 0.791 0.643
12 Ho 0.209 0.357 0.009
13 Ho 0.357 0.009 0.209
14 Tm 0.744 0.907 0.312
15 Tm 0.688 0.256 0.093
16 Tm 0.093 0.688 0.256
17 Tm 0.256 0.093 0.688
18 Tm 0.312 0.744 0.907
19 Tm 0.907 0.312 0.744

Output
The density is 8.66 Mg/m³. The calculation puts the size of the total moment at 0.000 μB/atom. For the total energy, the calculation gives -4.392 eV per atom. The density of states at the Fermi level is 33.2 states/eV/cell. Its symmetry is R-3, No. 148. The calculation puts the formation energy at 0.16 eV/atom.



(12)
BaBiSb2Cl: optimized geometry, PBE.

a = 6.300 Å, b = 6.531 Å, c = 6.300 Å
α = 90.00°, β = 90.00°, γ = 90.00°
Sites, in units of the cell vectors:
1 Sb 0.000 0.000 0.500
2 Sb 0.500 0.000 0.000
3 Cl 0.500 0.500 0.500
4 Bi 0.000 0.500 0.000
5 Ba 0.000 0.000 0.000

Output
The density is 4.01 Mg/m³. The calculation puts the size of the total moment at 0.000 μB/atom. For the total energy, the calculation gives -2.347 eV per atom. The density of states at the Fermi level is 4.7 states/eV/cell. Its symmetry is P4/mmm, No. 123. For the formation energy (no corrections), the calculation gives 831.9 meV/atom.